A plane-wave DFT calculation with PBE was carried out for crystalline Nd2Ga4Ni3Pd at its relaxed geometry.

Computed properties:
**Raw total energy**: -5.03 eV per atom
**DOS at the Fermi energy**: 0.863 states/eV/atom
**Spin magnetization**: 0.00 μB per formula unit
**Crystal system**: tetragonal

Geometry as CIF:
```
data_Nd2Ga4Ni3Pd
_chemical_formula_sum 'Nd2 Ga4 Ni3 Pd1'
_symmetry_space_group_name_H-M 'P -4 m 2'
_symmetry_Int_Tables_number 115
_symmetry_space_group_name_Hall 'P -4 -2'
_cell_length_a 4.2455
_cell_length_b 4.2455
_cell_length_c 9.8403
_cell_angle_alpha 90.00
_cell_angle_beta 90.00
_cell_angle_gamma 90.00
loop_
_atom_site_label
_atom_site_fract_x
_atom_site_fract_y
_atom_site_fract_z
Nd1 0.0000 0.5000 0.2467
Ga1 0.0000 0.0000 0.0000
Ga2 0.0000 0.5000 0.6339
Ga3 0.5000 0.5000 0.0000
Ni1 0.0000 0.5000 0.8754
Ni2 0.5000 0.5000 0.5000
Pd1 0.0000 0.0000 0.5000
```

A plane-wave DFT calculation with PBE was carried out for crystalline NaCu3Sb3 at its relaxed geometry.

Computed properties:
**ΔE to the lowest computed polymorph**: 0.040 eV per atom
**DOS at the Fermi energy**: 0.630 states/eV/atom
**Spin magnetization**: 0.00 μB per formula unit
**Crystal system**: trigonal

Geometry as CIF:
```
data_NaCu3Sb3
_chemical_formula_sum 'Na6 Cu18 Sb18'
_symmetry_space_group_name_H-M 'R -3'
_symmetry_Int_Tables_number 148
_symmetry_space_group_name_Hall '-R 3'
_cell_length_a 6.4718
_cell_length_b 6.4718
_cell_length_c 27.0102
_cell_angle_alpha 90.00
_cell_angle_beta 90.00
_cell_angle_gamma 120.00
loop_
_atom_site_label
_atom_site_fract_x
_atom_site_fract_y
_atom_site_fract_z
Na1 0.0000 0.0000 0.1510
Cu1 0.9998 0.2328 0.0362
Sb1 0.0008 0.5842 0.0816
```

A plane-wave DFT calculation with PBE was carried out for crystalline Pu2Np3WN6 at its relaxed geometry.

Computed properties:
**Raw total energy**: -11.87 eV per atom
**DOS at the Fermi energy**: 2.069 states/eV/atom
**Spin magnetization**: 6.00 μB per formula unit
**Crystal system**: monoclinic

Geometry as CIF:
```
data_Pu2Np3WN6
_chemical_formula_sum 'Pu4 Np6 W2 N12'
_symmetry_space_group_name_H-M 'C 1 2/m 1'
_symmetry_Int_Tables_number 12
_symmetry_space_group_name_Hall '-C 2y'
_cell_length_a 5.8575
_cell_length_b 10.1156
_cell_length_c 5.8242
_cell_angle_alpha 90.00
_cell_angle_beta 109.54
_cell_angle_gamma 90.00
loop_
_atom_site_label
_atom_site_fract_x
_atom_site_fract_y
_atom_site_fract_z
Pu1 0.0000 0.1668 0.0000
Np1 0.0000 0.0000 0.5000
Np2 0.0000 0.3319 0.5000
W1 0.0000 0.5000 0.0000
N1 0.2289 0.5000 0.7559
N2 0.2345 0.3462 0.2372
```

A plane-wave DFT calculation with PBE was carried out for crystalline PmHfSc2 at its relaxed geometry.

Computed properties:
**ΔE to the lowest computed polymorph**: 0.002 eV per atom
**DOS at the Fermi energy**: 1.677 states/eV/atom
**Spin magnetization**: 0.00 μB per formula unit
**Crystal system**: trigonal

Geometry as CIF:
```
data_PmHfSc2
_chemical_formula_sum 'Pm3 Hf3 Sc6'
_symmetry_space_group_name_H-M 'R 3 m'
_symmetry_Int_Tables_number 160
_symmetry_space_group_name_Hall 'R 3 -2"'
_cell_length_a 3.3234
_cell_length_b 3.3234
_cell_length_c 32.3939
_cell_angle_alpha 90.00
_cell_angle_beta 90.00
_cell_angle_gamma 120.00
loop_
_atom_site_label
_atom_site_fract_x
_atom_site_fract_y
_atom_site_fract_z
Pm1 0.0000 0.0000 0.0000
Hf1 0.0000 0.0000 0.1654
Sc1 0.0000 0.0000 0.5758
Sc2 0.0000 0.0000 0.7556
```

A plane-wave DFT calculation with PBE was carried out for crystalline KCd3 at its relaxed geometry.

Computed properties:
**Raw total energy**: -0.91 eV per atom
**DOS at the Fermi energy**: 0.318 states/eV/atom
**Spin magnetization**: 0.00 μB per formula unit
**Crystal system**: trigonal

Geometry as CIF:
```
data_KCd3
_chemical_formula_sum 'K3 Cd9'
_symmetry_space_group_name_H-M 'R -3 m'
_symmetry_Int_Tables_number 166
_symmetry_space_group_name_Hall '-R 3 2"'
_cell_length_a 11.2350
_cell_length_b 11.2350
_cell_length_c 3.1160
_cell_angle_alpha 90.00
_cell_angle_beta 90.00
_cell_angle_gamma 120.00
loop_
_atom_site_label
_atom_site_fract_x
_atom_site_fract_y
_atom_site_fract_z
K1 0.0000 0.0000 0.0000
Cd1 0.0000 0.5000 0.0000
```

A plane-wave DFT calculation with PBE was carried out for crystalline YCrH3 at its relaxed geometry.

Computed properties:
**Raw total energy**: -5.50 eV per atom
**DOS at the Fermi energy**: 0.001 states/eV/atom
**Spin magnetization**: 0.00 μB per formula unit
**Crystal system**: cubic

Geometry as CIF:
```
data_YCrH3
_chemical_formula_sum 'Y1 Cr1 H3'
_symmetry_space_group_name_H-M 'P m -3 m'
_symmetry_Int_Tables_number 221
_symmetry_space_group_name_Hall '-P 4 2 3'
_cell_length_a 3.5471
_cell_length_b 3.5471
_cell_length_c 3.5471
_cell_angle_alpha 90.00
_cell_angle_beta 90.00
_cell_angle_gamma 90.00
loop_
_atom_site_label
_atom_site_fract_x
_atom_site_fract_y
_atom_site_fract_z
Y1 0.0000 0.0000 0.0000
Cr1 0.5000 0.5000 0.5000
H1 0.0000 0.5000 0.5000
```

A plane-wave DFT calculation with PBE was carried out for crystalline Li2ZrTe at its relaxed geometry.

Computed properties:
**Raw total energy**: -3.96 eV per atom
**DOS at the Fermi energy**: 0.927 states/eV/atom
**Spin magnetization**: 0.16 μB per formula unit
**Crystal system**: orthorhombic

Geometry as CIF:
```
data_Li2ZrTe
_chemical_formula_sum 'Li4 Zr2 Te2'
_symmetry_space_group_name_H-M 'C m m m'
_symmetry_Int_Tables_number 65
_symmetry_space_group_name_Hall '-C 2 2'
_cell_length_a 5.7747
_cell_length_b 10.1629
_cell_length_c 3.0191
_cell_angle_alpha 90.00
_cell_angle_beta 90.00
_cell_angle_gamma 90.00
loop_
_atom_site_label
_atom_site_fract_x
_atom_site_fract_y
_atom_site_fract_z
Li1 0.2500 0.2500 0.0000
Zr1 0.0000 0.0000 0.5000
Te1 0.0000 0.5000 0.5000
```

A plane-wave DFT calculation with PBE was carried out for crystalline SrMg2Tc at its relaxed geometry.

Computed properties:
**ΔE to the lowest computed polymorph**: 0.145 eV per atom
**DOS at the Fermi energy**: 1.139 states/eV/atom
**Spin magnetization**: 0.64 μB per formula unit
**Crystal system**: cubic

Geometry as CIF:
```
data_SrMg2Tc
_chemical_formula_sum 'Sr4 Mg8 Tc4'
_symmetry_space_group_name_H-M 'F m -3 m'
_symmetry_Int_Tables_number 225
_symmetry_space_group_name_Hall '-F 4 2 3'
_cell_length_a 7.1198
_cell_length_b 7.1198
_cell_length_c 7.1198
_cell_angle_alpha 90.00
_cell_angle_beta 90.00
_cell_angle_gamma 90.00
loop_
_atom_site_label
_atom_site_fract_x
_atom_site_fract_y
_atom_site_fract_z
Sr1 0.0000 0.0000 0.0000
Mg1 0.2500 0.2500 0.2500
Tc1 0.0000 0.0000 0.5000
```

A plane-wave DFT calculation with PBE was carried out for crystalline CuRhS2 at its relaxed geometry.

Computed properties:
**Raw total energy**: -4.88 eV per atom
**DOS at the Fermi energy**: 0.691 states/eV/atom
**Spin magnetization**: 0.00 μB per formula unit
**Crystal system**: orthorhombic

Geometry as CIF:
```
data_CuRhS2
_chemical_formula_sum 'Cu4 Rh4 S8'
_symmetry_space_group_name_H-M 'C m c m'
_symmetry_Int_Tables_number 63
_symmetry_space_group_name_Hall '-C 2c 2'
_cell_length_a 2.9089
_cell_length_b 18.4541
_cell_length_c 4.5325
_cell_angle_alpha 90.00
_cell_angle_beta 90.00
_cell_angle_gamma 90.00
loop_
_atom_site_label
_atom_site_fract_x
_atom_site_fract_y
_atom_site_fract_z
Cu1 0.0000 0.1863 0.2500
Rh1 0.0000 0.4532 0.2500
S1 0.0000 0.3162 0.2500
S2 0.0000 0.4232 0.7500
```

A plane-wave DFT calculation with PBE was carried out for crystalline AcEr2Ag at its relaxed geometry.

Computed properties:
**ΔE to the lowest computed polymorph**: 0.255 eV per atom
**DOS at the Fermi energy**: 1.146 states/eV/atom
**Spin magnetization**: 0.00 μB per formula unit
**Crystal system**: trigonal

Geometry as CIF:
```
data_AcEr2Ag
_chemical_formula_sum 'Ac3 Er6 Ag3'
_symmetry_space_group_name_H-M 'R -3 m'
_symmetry_Int_Tables_number 166
_symmetry_space_group_name_Hall '-R 3 2"'
_cell_length_a 5.0519
_cell_length_b 5.0519
_cell_length_c 17.9203
_cell_angle_alpha 90.00
_cell_angle_beta 90.00
_cell_angle_gamma 120.00
loop_
_atom_site_label
_atom_site_fract_x
_atom_site_fract_y
_atom_site_fract_z
Ac1 0.0000 0.0000 0.0000
Er1 0.0000 0.0000 0.2131
Ag1 0.0000 0.0000 0.5000
```